(1)
An optimized crystal structure of HfPb3N, computed with PBE.

Cell: 5.6758 5.6758 5.6758 Å, 90.00 90.00 90.00°
Last column: nearest neighbours and their distance in Å.
Positions (direct):
N: 0.5000 0.5000 0.5000  12 Pb 4.01
Pb: 0.0000 0.5000 0.0000  2 Hf 2.84
Pb: 0.5000 0.0000 0.0000  2 Hf 2.84
Pb: 0.0000 0.0000 0.5000  2 Hf 2.84
Hf: 0.0000 0.0000 0.0000  6 Pb 2.84

Computed properties:
The value obtained for the density of states at the Fermi level is 2.93 states/eV/f.u. The symmetry is Pm-3m. The relative energy among the computed polymorphs is 2.82 eV/f.u.

***

(2)
An optimized crystal structure of Hf5Pb2N, computed with PBE.

Cell: 4.2209 8.4854 11.2841 Å, 90.00 90.00 104.40°
Last column: nearest neighbours and their distance in Å.
Positions (direct):
Pb: 0.9362 0.8724 0.3764  1 Pb 2.85, 4 Hf 2.95-3.14
Pb: 0.9362 0.8724 0.1236  1 Pb 2.85, 4 Hf 2.95-3.14
Pb: 0.0638 0.1276 0.6236  1 Pb 2.85, 4 Hf 2.95-3.14
Pb: 0.0638 0.1276 0.8764  1 Pb 2.85, 4 Hf 2.95-3.14
Hf: 0.7320 0.4640 0.2500  2 N 2.11
Hf: 0.6978 0.3956 0.5635  1 N 2.37
Hf: 0.6978 0.3956 0.9365  1 N 2.37
Hf: 0.3022 0.6044 0.0635  1 N 2.37
Hf: 0.8727 0.7453 0.8790  1 N 2.30
Hf: 0.1273 0.2547 0.1210  1 N 2.30
Hf: 0.1273 0.2547 0.3790  1 N 2.30
Hf: 0.3022 0.6044 0.4365  1 N 2.37
Hf: 0.8727 0.7453 0.6210  1 N 2.30
Hf: 0.2680 0.5360 0.7500  2 N 2.11
N: 0.7641 0.5283 0.7500  4 Hf 2.11-2.30
N: 0.2359 0.4717 0.2500  4 Hf 2.11-2.30

Computed properties:
The value obtained for the density of states at the Fermi level is 6.16 states/eV/f.u. The symmetry is Cmcm.

***

(3)
An optimized crystal structure of Hf6PbN2, computed with PBE.

Cell: 6.1693 8.3490 8.3490 Å, 65.17 73.86 73.86°
Last column: nearest neighbours and their distance in Å.
Positions (direct):
N: 0.3035 0.5825 0.7293  4 Hf 2.06-2.10
N: 0.6965 0.4175 0.2707  4 Hf 2.06-2.10
N: 0.8035 0.7293 0.5825  4 Hf 2.06-2.10
N: 0.1965 0.2707 0.4175  4 Hf 2.06-2.10
Hf: 0.0257 0.8506 0.3517  1 N 2.07
Hf: 0.4743 0.6483 0.1494  1 N 2.07
Hf: 0.0142 0.5000 0.7245  2 N 2.08-2.10
Hf: 0.1769 0.7497 0.8722  1 N 2.06
Hf: 0.9743 0.1494 0.6483  1 N 2.07
Hf: 0.5142 0.7245 0.5000  2 N 2.08-2.10
Hf: 0.9858 0.5000 0.2755  2 N 2.08-2.10
Hf: 0.4858 0.2755 0.5000  2 N 2.08-2.10
Hf: 0.3231 0.1278 0.2503  1 N 2.06
Hf: 0.6769 0.8722 0.7497  1 N 2.06
Hf: 0.5257 0.3517 0.8506  1 N 2.07
Hf: 0.8231 0.2503 0.1278  1 N 2.06
Pb: 0.7500 0.9246 0.0754  10 Hf 3.00-3.35
Pb: 0.2500 0.0754 0.9246  10 Hf 3.00-3.35

Computed properties:
The value obtained for the density of states at the Fermi level is 5.48 states/eV/f.u. The symmetry is C2/c.

***

(4)
An optimized crystal structure of Hf4Pb2N, computed with PBE.

Cell: 4.3909 4.3909 8.2325 Å, 74.53 74.53 90.00°
Last column: nearest neighbours and their distance in Å.
Positions (direct):
Pb: 0.3477 0.3477 0.3047  9 Hf 3.04-3.20
Pb: 0.6523 0.6523 0.6953  9 Hf 3.04-3.20
N: 0.0000 0.0000 0.0000  6 Hf 2.20-2.26
Hf: 0.0000 0.5000 0.0000  2 N 2.20
Hf: 0.1484 0.1484 0.7032  1 N 2.26
Hf: 0.5000 0.0000 0.0000  2 N 2.20
Hf: 0.8516 0.8516 0.2968  1 N 2.26

Computed properties:
The value obtained for the density of states at the Fermi level is 3.50 states/eV/f.u. The symmetry is I4/mmm.

***

(5)
An optimized crystal structure of Hf8PbN2, computed with PBE.

Cell: 5.7850 7.1816 7.1816 Å, 53.40 81.99 81.99°
Last column: nearest neighbours and their distance in Å.
Positions (direct):
Hf: 0.6909 0.1655 0.6361  1 N 2.08
Hf: 0.2984 0.8029 0.8029  1 N 2.07
Hf: 0.7828 0.6519 0.6519  1 N 2.08
Hf: 0.2172 0.3481 0.3481  1 N 2.08
Hf: 0.7016 0.1971 0.1971  1 N 2.07
Hf: 0.3091 0.3639 0.8345  1 N 2.08
Hf: 0.6909 0.6361 0.1655  1 N 2.08
Hf: 0.3091 0.8345 0.3639  1 N 2.08
Pb: 0.0000 0.0000 0.0000  6 Hf 2.83-2.91
N: 0.6521 0.8126 0.8126  4 Hf 2.07-2.08
N: 0.3479 0.1874 0.1874  4 Hf 2.07-2.08

Computed properties:
The value obtained for the density of states at the Fermi level is 10.22 states/eV/f.u. The symmetry is C2/m.

***

(6)
An optimized crystal structure of HfPb3N, computed with PBE.

Cell: 4.9101 4.9101 4.9101 Å, 90.00 90.00 90.00°
Last column: nearest neighbours and their distance in Å.
Positions (direct):
Pb: 0.0000 0.5000 0.0000  2 N 2.46
Pb: 0.0000 0.0000 0.5000  2 N 2.46
Pb: 0.5000 0.0000 0.0000  2 N 2.46
Hf: 0.5000 0.5000 0.5000  12 Pb 3.47
N: 0.0000 0.0000 0.0000  6 Pb 2.46

Computed properties:
The value obtained for the density of states at the Fermi level is 4.42 states/eV/f.u. The symmetry is Pm-3m. The relative energy among the computed polymorphs is 0.00 eV/f.u.

***

(7)
An optimized crystal structure of HfPbN3, computed with PBE.

Cell: 4.2470 4.2470 4.2470 Å, 90.00 90.00 90.00°
Last column: nearest neighbours and their distance in Å.
Positions (direct):
N: 0.0000 0.5000 0.0000  2 Hf 2.12
N: 0.5000 0.0000 0.0000  2 Hf 2.12
N: 0.0000 0.0000 0.5000  2 Hf 2.12
Hf: 0.0000 0.0000 0.0000  6 N 2.12
Pb: 0.5000 0.5000 0.5000  12 N 3.00

Computed properties:
The value obtained for the density of states at the Fermi level is 1.90 states/eV/f.u. The symmetry is Pm-3m.

***

(8)
An optimized crystal structure of Hf4PbN2, computed with PBE.

Cell: 5.2419 5.2419 6.6369 Å, 66.74 66.74 90.00°
Last column: nearest neighbours and their distance in Å.
Positions (direct):
Hf: 0.2643 0.2643 0.4714  1 N 1.94
Hf: 0.5000 0.0000 0.0000  2 Pb 2.62, 4 N 2.70
Hf: 0.7357 0.7357 0.5286  1 N 1.94
Hf: 0.0000 0.5000 0.0000  2 Pb 2.62, 4 N 2.70
N: 0.4402 0.4402 0.1196  1 N 1.32
N: 0.5598 0.5598 0.8804  1 N 1.32
Pb: 0.0000 0.0000 0.0000  6 Hf 2.62-2.91

Computed properties:
The value obtained for the density of states at the Fermi level is 5.76 states/eV/f.u. The symmetry is I4/mmm.

***

(9)
An optimized crystal structure of HfPbN2, computed with PBE.

Cell: 4.0452 4.0452 8.0357 Å, 90.00 90.00 90.00°
Last column: nearest neighbours and their distance in Å.
Positions (direct):
N: 0.0000 0.0000 0.5000  4 Hf 2.16
N: 0.5000 0.0000 0.1505  1 Hf 2.04
N: 0.0000 0.5000 0.8495  1 Hf 2.04
N: 0.5000 0.5000 0.5000  4 Hf 2.16
Hf: 0.5000 0.0000 0.4044  5 N 2.04-2.16
Hf: 0.0000 0.5000 0.5956  5 N 2.04-2.16
Pb: 0.0000 0.5000 0.1360  1 N 2.30
Pb: 0.5000 0.0000 0.8640  1 N 2.30

Computed properties:
The symmetry is P4/nmm.

***

(10)
An optimized crystal structure of Hf3PbN, computed with PBE.

Cell: 3.2553 7.8985 8.3569 Å, 115.84 90.00 90.00°
Last column: nearest neighbours and their distance in Å.
Positions (direct):
N: 0.2500 0.8103 0.3588  6 Hf 2.23-2.27
N: 0.7500 0.1897 0.6412  6 Hf 2.23-2.27
Hf: 0.7500 0.6210 0.3658  2 N 2.23
Hf: 0.7500 0.3197 0.9425  1 N 2.27
Hf: 0.2500 0.6803 0.0575  1 N 2.27
Hf: 0.2500 0.3790 0.6342  2 N 2.23
Hf: 0.2500 0.9988 0.6516  3 N 2.24-2.25
Hf: 0.7500 0.0012 0.3484  3 N 2.24-2.25
Pb: 0.7500 0.7620 0.7832  7 Hf 3.03-3.17, 2 Pb 3.26
Pb: 0.2500 0.2380 0.2168  7 Hf 3.03-3.17, 2 Pb 3.26

Computed properties:
The value obtained for the density of states at the Fermi level is 2.56 states/eV/f.u. The symmetry is P2_1/m.

***

(11)
An optimized crystal structure of HfPbN2, computed with PBE.

Cell: 5.5484 5.5484 6.2360 Å, 63.59 63.59 90.00°
Last column: nearest neighbours and their distance in Å.
Positions (direct):
Pb: 0.0000 0.0000 0.0000  4 N 2.61
Pb: 0.7500 0.2500 0.5000  4 N 2.61
Hf: 0.2500 0.7500 0.5000  4 N 2.06
Hf: 0.5000 0.5000 0.0000  4 N 2.06
N: 0.8750 0.7927 0.7500  2 Hf 2.06
N: 0.3750 0.4573 0.7500  2 Hf 2.06
N: 0.5427 0.1250 0.2500  2 Hf 2.06
N: 0.2073 0.6250 0.2500  2 Hf 2.06

Computed properties:
The value obtained for the density of states at the Fermi level is 0.00 states/eV/f.u. The symmetry is I-42d.

***

(12)
An optimized crystal structure of HfPbS2N, computed with PBE.

Cell: 5.1152 5.1152 4.0521 Å, 90.00 90.00 90.00°
Last column: nearest neighbours and their distance in Å.
Positions (direct):
N: 0.0000 0.0000 0.5000  2 Pb 2.03
Hf: 0.5000 0.5000 0.5000  8 S 3.26, 4 N 3.62
S: 0.0000 0.5000 0.0000  2 Pb 2.56
S: 0.5000 0.0000 0.0000  2 Pb 2.56
Pb: 0.0000 0.0000 0.0000  2 N 2.03

Computed properties:
The value obtained for the density of states at the Fermi level is 1.54 states/eV/f.u. The symmetry is P4/mmm. The relative energy among the computed polymorphs is 7.62 eV/f.u.

***

(13)
An optimized crystal structure of HfPbS2N, computed with PBE.

Cell: 5.0686 5.0686 4.1395 Å, 90.00 90.00 90.00°
Last column: nearest neighbours and their distance in Å.
Positions (direct):
S: 0.5000 0.0000 0.0000  2 Hf 2.53
S: 0.0000 0.5000 0.0000  2 Hf 2.53
N: 0.0000 0.0000 0.5000  2 Hf 2.07
Pb: 0.5000 0.5000 0.5000  8 S 3.27, 4 N 3.58
Hf: 0.0000 0.0000 0.0000  2 N 2.07

Computed properties:
The value obtained for the density of states at the Fermi level is 2.15 states/eV/f.u. The symmetry is P4/mmm. The relative energy among the computed polymorphs is 0.00 eV/f.u.

***

Computed values of calculated total energy (unit: eV per atom) for the preceding records, in sequence: -4.531, -8.233, -9.360, -8.369, -9.344, -5.096, -7.422, -8.100, -8.305, -9.072, -8.153, -5.068, -6.592.
Computed values of M_tot (unit: μB/f.u.) for the preceding records, in sequence: 2.869, 0.000, 0.000, 0.000, 0.000, 0.000, 3.000, 0.000, 0.000, 0.000, 0.000, 0.477, 1.002.